[1]
Material: Li2MnTl
Method: DFT, PBE
State: optimized geometry

a = 9.5395 Å, b = 9.5395 Å, c = 9.5395 Å
α = 19.31°, β = 19.31°, γ = 19.31°
Site moments in Bohr magnetons follow the coordinates.
Fractional coordinates of all 4 atoms:
Li  0.0026  0.0026  0.0026  0.00
Li  0.2463  0.2463  0.2463  -0.02
Tl  0.7500  0.7500  0.7500  0.01
Mn  0.5011  0.5011  0.5011  3.96

**Electronic total energy**: -3.573 eV per atom
**ΔE_f**: 0.268 eV/atom
**Fermi-level density of states**: 0.416 states/eV per atom
**SG**: No. 160

---

[2]
Material: LiMn2Tl
Method: DFT, PBE
State: optimized geometry

a = 2.9706 Å, b = 2.9706 Å, c = 9.4160 Å
α = 90.00°, β = 90.00°, γ = 113.65°
Site moments in Bohr magnetons follow the coordinates.
Fractional coordinates of all 4 atoms:
Tl  0.5000  0.5000  0.2500  -0.06
Li  0.5000  0.5000  0.7500  -0.04
Mn  0.0000  0.0000  0.5124  3.79
Mn  0.0000  0.0000  0.9876  3.79

**Electronic total energy**: -5.069 eV per atom
**ΔE_f**: 0.586 eV/atom
**Fermi-level density of states**: 0.896 states/eV per atom
**SG**: No. 65